[1]
A relaxed structure of Ba2SnH. Source: Alexandria, functional GGA-PBE.

Unit cell a=3.843 b=3.843 c=8.461 alpha=90.00 beta=90.00 gamma=90.00
Fractional positions:
Ba 0.000 0.000 0.231
Ba 0.000 0.000 0.769
Sn 0.500 0.500 0.500
H 0.500 0.500 0.000

Calculated values
- Total magnetic moment: 0.000 μB per cell
- Space-group type: P4/mmm
- Uncorrected energy: -3.14 eV/atom



[2]
A relaxed structure of La3PrSm6Y2. Source: Alexandria, functional GGA-PBE.

Unit cell a=6.332 b=6.332 c=12.141 alpha=95.01 beta=95.01 gamma=120.03
Fractional positions:
La 0.000 0.000 0.000
La 0.333 0.667 0.000
La 0.667 0.333 0.000
Pr 0.500 0.500 0.500
Sm 0.084 0.418 0.254
Sm 0.248 0.248 0.747
Sm 0.418 0.084 0.254
Sm 0.582 0.916 0.746
Sm 0.752 0.752 0.253
Sm 0.916 0.582 0.746
Y 0.167 0.833 0.500
Y 0.833 0.167 0.500

Calculated values
- Total magnetic moment: 0.000 μB per cell
- Space-group type: C2/m
- Energy of formation: 17 meV per atom



Look up the total magnetic moment of the first one.
0.000 μB per cell